The following is a DFT calculation (GGA-PBE) of KCuTe2N after structural relaxation.

Symmetry: P4/mmm
Formation energy from raw total energies, eV per atom: 0.36
Energy relative to the lowest polymorph listed for this composition, meV/atom: 0

Cell: 6.087 6.087 3.447 Å, 90.00 90.00 90.00°
Element x y z (fractional)
K 0.000 0.000 0.000
Cu 0.500 0.500 0.500
Te 0.000 0.500 0.500
Te 0.500 0.000 0.500
N 0.500 0.500 0.000

The following is a DFT calculation (GGA-PBE) of KUCuN3 after structural relaxation.

Symmetry: P2_1/m
Formation energy from raw total energies, eV per atom: -0.53

Cell: 7.103 3.548 8.636 Å, 90.00 108.30 90.00°
Element x y z (fractional)
K 0.182 0.250 0.229
K 0.818 0.750 0.771
U 0.362 0.250 0.826
U 0.638 0.750 0.174
Cu 0.140 0.750 0.556
Cu 0.860 0.250 0.444
N 0.067 0.250 0.649
N 0.342 0.750 0.987
N 0.413 0.750 0.702
N 0.587 0.250 0.298
N 0.658 0.250 0.013
N 0.933 0.750 0.351

The following is a DFT calculation (GGA-PBE) of K4U3CuN8 after structural relaxation.

Symmetry: C2/m
Formation energy from raw total energies, eV per atom: -0.67

Cell: 7.084 7.084 7.426 Å, 117.09 117.09 56.39°
Element x y z (fractional)
K 0.000 0.000 0.000
K 0.000 0.500 0.000
K 0.500 0.000 0.000
K 0.500 0.500 0.000
U 0.000 0.000 0.500
U 0.000 0.500 0.500
U 0.500 0.000 0.500
Cu 0.500 0.500 0.500
N 0.203 0.724 0.653
N 0.224 0.224 0.668
N 0.239 0.239 0.317
N 0.276 0.797 0.347
N 0.724 0.203 0.653
N 0.761 0.761 0.683
N 0.776 0.776 0.332
N 0.797 0.276 0.347

The following is a DFT calculation (GGA-PBE) of K2NaCu after structural relaxation.

Symmetry: Fm-3m
Energy relative to the lowest polymorph listed for this composition, meV/atom: 0
DFT formation energy, eV/atom: 0.294

Cell: 8.531 8.531 8.531 Å, 90.00 90.00 90.00°
Element x y z (fractional)
K 0.250 0.250 0.250
K 0.250 0.250 0.750
K 0.250 0.750 0.250
K 0.250 0.750 0.750
K 0.750 0.250 0.250
K 0.750 0.250 0.750
K 0.750 0.750 0.250
K 0.750 0.750 0.750
Na 0.000 0.000 0.000
Na 0.000 0.500 0.500
Na 0.500 0.000 0.500
Na 0.500 0.500 0.000
Cu 0.000 0.000 0.500
Cu 0.000 0.500 0.000
Cu 0.500 0.000 0.000
Cu 0.500 0.500 0.500

no.,calculated total energy (eV for the cell shown),calculated density (Mg/m³)
1,-18.0,4.83
2,-89.2,6.15
3,-119.7,6.54
4,-25.7,1.76